DFT (PBE) results for a geometry-optimized OsPtW2 structure.

Cell: 9.386 9.386 9.386 Å, 17.05 17.05 17.05°
Fractional coordinates of all 4 atoms:
W (0.499, 0.499, 0.499)
W (0.001, 0.001, 0.001)
Pt (0.250, 0.250, 0.250)
Os (0.750, 0.750, 0.750)

Output
Distance to the lowest polymorph of the same formula, meV per atom: 154
E_form, eV per atom: 0.012
V, Å³ per atom: 15.5